1.
{
  "formula": "SrMgRe",
  "functional": "GGA-PBE",
  "state": "optimized geometry",
  "lattice": [[5.1253, 0.0000, 0.0000], [-2.5626, 4.4386, 0.0000], [0.0000, 0.0000, 2.8926]],
  "species": ["Sr", "Mg", "Re"],
  "frac_coords": [[0.0000, 0.0000, 0.0000], [0.6667, 0.3333, 0.4756], [0.3333, 0.6667, 0.5166]],
  "crystal_system": "trigonal",
  "final_energy_ev_per_atom": -4.42,
  "delta_e_f_ev_per_atom": 0.8258
}


2.
{
  "formula": "CePmSn",
  "functional": "GGA-PBE",
  "state": "optimized geometry",
  "lattice": [[5.5418, 0.0000, 0.0000], [-2.7709, 4.7993, 0.0000], [0.0000, 0.0000, 6.5764]],
  "species": ["Ce", "Ce", "Pm", "Pm", "Sn", "Sn"],
  "frac_coords": [[0.0000, 0.0000, 0.0000], [0.0000, 0.0000, 0.5000], [0.3333, 0.6667, 0.2500], [0.6667, 0.3333, 0.7500], [0.3333, 0.6667, 0.7500], [0.6667, 0.3333, 0.2500]],
  "crystal_system": "hexagonal",
  "final_energy_ev_per_atom": -5.45,
  "delta_e_f_ev_per_atom": -0.5502
}


3.
{
  "formula": "YBeIn",
  "functional": "GGA-PBE",
  "state": "optimized geometry",
  "lattice": [[2.4218, -4.1167, 0.0000], [2.4218, 4.1167, 0.0000], [0.0000, 0.0000, 6.1268]],
  "species": ["Y", "Y", "Be", "Be", "In", "In"],
  "frac_coords": [[0.1638, 0.8362, 0.7500], [0.8362, 0.1638, 0.2500], [0.1719, 0.8281, 0.2500], [0.8281, 0.1719, 0.7500], [0.5000, 0.5000, 0.0000], [0.5000, 0.5000, 0.5000]],
  "crystal_system": "orthorhombic",
  "final_energy_ev_per_atom": -4.41,
  "delta_e_f_ev_per_atom": -0.0991
}


4.
{
  "formula": "NdTmNpO6",
  "functional": "GGA-PBE",
  "state": "optimized geometry",
  "lattice": [[5.7277, 0.0000, 0.0000], [-2.8639, 4.9603, 0.0000], [0.0000, 0.0000, 9.8195]],
  "species": ["Nd", "Nd", "Tm", "Tm", "Np", "Np", "O", "O", "O", "O", "O", "O", "O", "O", "O", "O", "O", "O"],
  "frac_coords": [[0.0000, 0.0000, 0.0000], [0.0000, 0.0000, 0.5000], [0.3333, 0.6667, 0.2500], [0.6667, 0.3333, 0.7500], [0.3333, 0.6667, 0.7500], [0.6667, 0.3333, 0.2500], [0.0205, 0.3632, 0.6377], [0.0205, 0.6573, 0.8623], [0.3427, 0.3632, 0.8623], [0.3427, 0.9795, 0.6377], [0.3632, 0.0205, 0.1377], [0.3632, 0.3427, 0.3623], [0.6368, 0.6573, 0.6377], [0.6368, 0.9795, 0.8623], [0.6573, 0.0205, 0.3623], [0.6573, 0.6368, 0.1377], [0.9795, 0.3427, 0.1377], [0.9795, 0.6368, 0.3623]],
  "crystal_system": "trigonal",
  "formation_energy_uncorrected_ev_per_atom": -3.21,
  "final_energy_ev_per_atom": -8.98
}


5.
{
  "formula": "Sr2GaNiC",
  "functional": "GGA-PBE",
  "state": "optimized geometry",
  "lattice": [[5.5715, 0.0000, 0.0000], [0.0000, 5.5715, 0.0000], [0.0000, 0.0000, 3.6349]],
  "species": ["Sr", "Sr", "Ga", "Ni", "C"],
  "frac_coords": [[0.0000, 0.5000, 0.0000], [0.5000, 0.0000, 0.0000], [0.0000, 0.0000, 0.5000], [0.5000, 0.5000, 0.5000], [0.5000, 0.5000, 0.0000]],
  "crystal_system": "tetragonal",
  "final_energy_ev_per_atom": -4.30,
  "delta_e_f_ev_per_atom": -0.0251
}


6.
{
  "formula": "InSnF3",
  "functional": "GGA-PBE",
  "state": "optimized geometry",
  "lattice": [[5.4415, 0.0000, 0.0000], [0.0000, 6.2948, 0.0000], [-1.2853, 0.0000, 6.3160]],
  "species": ["In", "In", "Sn", "Sn", "F", "F", "F", "F", "F", "F"],
  "frac_coords": [[0.2256, 0.2500, 0.0241], [0.7744, 0.7500, 0.9759], [0.2628, 0.7500, 0.5018], [0.7372, 0.2500, 0.4982], [0.0578, 0.2500, 0.3552], [0.4503, 0.5350, 0.7397], [0.4503, 0.9650, 0.7397], [0.5497, 0.0350, 0.2603], [0.5497, 0.4650, 0.2603], [0.9422, 0.7500, 0.6448]],
  "crystal_system": "monoclinic",
  "formation_energy_uncorrected_ev_per_atom": -2.02,
  "final_energy_ev_per_atom": -4.49
}


7.
{
  "formula": "DyY4",
  "functional": "GGA-PBE",
  "state": "optimized geometry",
  "lattice": [[3.0886, -1.7844, 0.0000], [3.0886, 1.7844, 0.0000], [-2.0263, 0.0000, 14.5242]],
  "species": ["Dy", "Y", "Y", "Y", "Y"],
  "frac_coords": [[0.0000, 0.0000, 0.0000], [0.2005, 0.2005, 0.6004], [0.3994, 0.3994, 0.1990], [0.6006, 0.6006, 0.8010], [0.7995, 0.7995, 0.3996]],
  "crystal_system": "monoclinic",
  "final_energy_ev_per_atom": -6.07,
  "delta_e_f_ev_per_atom": 0.0239
}


8.
{
  "formula": "Ba2MgZrS5",
  "functional": "GGA-PBE",
  "state": "optimized geometry",
  "lattice": [[2.0328, -8.9268, 0.0000], [2.0328, 8.9268, 0.0000], [0.0000, 0.0000, 13.0102]],
  "species": ["Ba", "Ba", "Ba", "Ba", "Mg", "Mg", "Zr", "Zr", "S", "S", "S", "S", "S", "S", "S", "S", "S", "S"],
  "frac_coords": [[0.1064, 0.8936, 0.5000], [0.1291, 0.8709, 0.1238], [0.8709, 0.1291, 0.6238], [0.8936, 0.1064, 0.0000], [0.4422, 0.5578, 0.2677], [0.5578, 0.4422, 0.7677], [0.2132, 0.7868, 0.8352], [0.7868, 0.2132, 0.3352], [0.0662, 0.9338, 0.8697], [0.2823, 0.7177, 0.4654], [0.3055, 0.6945, 0.2023], [0.3517, 0.6483, 0.8178], [0.5003, 0.4997, 0.1027], [0.4997, 0.5003, 0.6027], [0.6483, 0.3517, 0.3178], [0.6945, 0.3055, 0.7023], [0.7177, 0.2823, 0.9654], [0.9338, 0.0662, 0.3697]],
  "crystal_system": "orthorhombic",
  "formation_energy_uncorrected_ev_per_atom": -1.76,
  "final_energy_ev_per_atom": -5.60
}